A relaxed La3MgC2N6 crystal. Source: Alexandria via LeMat-Bulk, functional PBE-GGA.

a = 5.3665 Å, b = 5.3665 Å, c = 6.6468 Å
α = 90.00°, β = 90.00°, γ = 120.00°
With the nearest neighbours (Å) after each atom.
Sites, in units of the cell vectors:
La 0.0000 0.0000 0.0000  6 N 2.59
La 0.3333 0.6667 0.6738  1 C 2.62, 9 N 2.70-2.90
La 0.6667 0.3333 0.3262  1 C 2.62, 9 N 2.70-2.90
Mg 0.0000 0.0000 0.5000  6 N 2.22
C 0.3333 0.6667 0.2803  3 N 1.37
C 0.6667 0.3333 0.7197  3 N 1.37
N 0.1857 0.3715 0.2900  1 C 1.37
N 0.1857 0.8143 0.2900  1 C 1.37
N 0.3715 0.1857 0.7100  1 C 1.37
N 0.6285 0.8143 0.2900  1 C 1.37
N 0.8143 0.1857 0.7100  1 C 1.37
N 0.8143 0.6285 0.7100  1 C 1.37

Calculated values
symmetry = No. 164
calculated density = 5.5 g/cm³
magnetic moment = 0.000 μB per atom
VASP energy = -7.884 eV per atom
volume = 165.8 Å³/cell